Record 1
PBE AcCd4Pd, optimized geometry; symmetry = Cmcm; calculated formation energy = -209 kJ/mol of formula units; total moment = 0.00 Bohr magnetons per cell
1.0
2.2640 -8.4524 0.0000
2.2640 8.4524 0.0000
0.0000 0.0000 7.8615
Ac Cd Pd
2 8 2
Direct
0.1265 0.8735 0.7500 Ac
0.8735 0.1265 0.2500 Ac
0.0756 0.9244 0.2500 Cd
0.3194 0.6806 0.5625 Cd
0.3194 0.6806 0.9375 Cd
0.5000 0.5000 0.0000 Cd
0.5000 0.5000 0.5000 Cd
0.6806 0.3194 0.0625 Cd
0.6806 0.3194 0.4375 Cd
0.9244 0.0756 0.7500 Cd
0.2409 0.7591 0.2500 Pd
0.7591 0.2409 0.7500 Pd

=====

Record 2
PBE Tm5Sb4C, optimized geometry; formation energy from raw total energies = -18.38 kcal/mol of atoms; symmetry = I4; total moment = 0.00 Bohr magnetons per cell
1.0
-4.6454 4.6454 3.0272
4.6454 -4.6454 3.0272
4.6454 4.6454 -3.0272
Tm Sb C
5 4 1
Direct
0.0000 0.0000 0.0000 Tm
0.1874 0.3431 0.6562 Tm
0.3431 0.6868 0.1557 Tm
0.5311 0.1874 0.8443 Tm
0.6868 0.5311 0.3438 Tm
0.0168 0.6223 0.7713 Sb
0.2456 0.0168 0.3945 Sb
0.6223 0.8510 0.6055 Sb
0.8510 0.2456 0.2287 Sb
0.3923 0.3923 0.0000 C

=====

Record 3
PBE OsRhW2, optimized geometry; symmetry = F-43m; calculated formation energy = 109 kJ/mol of formula units; total moment = 0.00 Bohr magnetons per cell
1.0
0.0000 3.1335 3.1335
3.1335 0.0000 3.1335
3.1335 3.1335 0.0000
Os Rh W
1 1 2
Direct
0.0000 0.0000 0.0000 Os
0.2500 0.2500 0.2500 Rh
0.5000 0.5000 0.5000 W
0.7500 0.7500 0.7500 W

=====

Record 4
PBE TiSiMoRu2, optimized geometry; formation energy from raw total energies = 10.24 kcal/mol of atoms; symmetry = P4/mmm; total moment = 0.49 Bohr magnetons per cell
1.0
4.3345 0.0000 0.0000
0.0000 4.3345 0.0000
0.0000 0.0000 4.4885
Ti Si Mo Ru
1 1 1 2
Direct
0.0000 0.0000 0.0000 Ti
0.5000 0.5000 0.5000 Si
0.5000 0.5000 0.0000 Mo
0.0000 0.5000 0.5000 Ru
0.5000 0.0000 0.5000 Ru

=====

Record 5
PBE CoRe2HgGe, optimized geometry; symmetry = P4/mmm; calculated formation energy = 663 kJ/mol of formula units; total moment = 2.01 Bohr magnetons per cell
1.0
4.5724 0.0000 0.0000
0.0000 4.5724 0.0000
0.0000 0.0000 4.3114
Co Re Hg Ge
1 2 1 1
Direct
0.0000 0.0000 0.0000 Co
0.0000 0.5000 0.0000 Re
0.5000 0.0000 0.0000 Re
0.5000 0.5000 0.5000 Hg
0.0000 0.0000 0.5000 Ge

=====

Record 6
PBE AgP2W, optimized geometry; symmetry = I-42d; calculated formation energy = 116 kJ/mol of formula units; total moment = 0.00 Bohr magnetons per cell
1.0
-2.8437 2.8437 5.3970
2.8437 -2.8437 5.3970
2.8437 2.8437 -5.3970
Ag P W
2 4 2
Direct
0.0000 0.0000 0.0000 Ag
0.7500 0.2500 0.5000 Ag
0.1550 0.6250 0.0300 P
0.3750 0.4050 0.5300 P
0.5950 0.1250 0.9700 P
0.8750 0.8450 0.4700 P
0.2500 0.7500 0.5000 W
0.5000 0.5000 0.0000 W

=====

Record 7
PBE Hf5TiN5, optimized geometry; formation energy from raw total energies = -36.75 kcal/mol of atoms; symmetry = C2/m; total moment = 0.00 Bohr magnetons per cell
1.0
5.0031 -2.2638 0.0000
5.0031 2.2638 0.0000
-2.0408 0.0000 6.0103
Hf Ti N
5 1 5
Direct
0.0000 0.0000 0.0000 Hf
0.3310 0.3310 0.1710 Hf
0.3308 0.3308 0.6612 Hf
0.6692 0.6692 0.3388 Hf
0.6690 0.6690 0.8290 Hf
0.0000 0.0000 0.5000 Ti
0.1652 0.1652 0.8300 N
0.1677 0.1677 0.3378 N
0.5000 0.5000 0.5000 N
0.8323 0.8323 0.6622 N
0.8348 0.8348 0.1700 N

=====

Record 8
PBE CdFe2Au, optimized geometry; symmetry = P4mm; calculated formation energy = 44 kJ/mol of formula units; total moment = 5.16 Bohr magnetons per cell
1.0
3.0354 0.0000 0.0000
0.0000 3.0354 0.0000
0.0000 0.0000 6.7908
Cd Fe Au
1 2 1
Direct
0.0000 0.0000 0.0000 Cd
0.0000 0.0000 0.4403 Fe
0.5000 0.5000 0.2725 Fe
0.5000 0.5000 0.6961 Au

=====

Record 9
PBE YFe2NiH, optimized geometry; DFT total energy = -5.63 eV per atom; symmetry = P4/mmm; total moment = 6.14 Bohr magnetons per cell
1.0
4.3310 0.0000 0.0000
0.0000 4.3310 0.0000
0.0000 0.0000 5.2483
Y Fe Ni H
1 2 1 1
Direct
0.0000 0.0000 0.0000 Y
0.0000 0.5000 0.5000 Fe
0.5000 0.0000 0.5000 Fe
0.0000 0.0000 0.5000 Ni
0.5000 0.5000 0.0000 H

=====

Record 10
PBE NbP2Pt, optimized geometry; symmetry = I-42d; calculated formation energy = -96 kJ/mol of formula units; total moment = 0.00 Bohr magnetons per cell
1.0
-2.8125 2.8125 5.1812
2.8125 -2.8125 5.1812
2.8125 2.8125 -5.1812
Nb P Pt
2 4 2
Direct
0.0000 0.0000 0.0000 Nb
0.7500 0.2500 0.5000 Nb
0.1402 0.6250 0.0152 P
0.3750 0.3902 0.5152 P
0.6098 0.1250 0.9848 P
0.8750 0.8598 0.4848 P
0.2500 0.7500 0.5000 Pt
0.5000 0.5000 0.0000 Pt

=====

Record 11
PBE DyNi2Ge2Ir, optimized geometry; symmetry = P4/mmm; calculated formation energy = 7 kJ/mol of formula units; total moment = 0.00 Bohr magnetons per cell
1.0
4.6840 0.0000 0.0000
0.0000 4.6840 0.0000
0.0000 0.0000 5.3003
Dy Ni Ge Ir
1 2 2 1
Direct
0.0000 0.0000 0.0000 Dy
0.5000 0.5000 0.2465 Ni
0.5000 0.5000 0.7535 Ni
0.0000 0.5000 0.5000 Ge
0.5000 0.0000 0.5000 Ge
0.0000 0.0000 0.5000 Ir

=====

Record 12
PBE Pu2CdSb3Rh4, optimized geometry; formation energy from raw total energies = -11.66 kcal/mol of atoms; symmetry = P-4m2; total moment = 10.56 Bohr magnetons per cell
1.0
4.2328 0.0000 0.0000
0.0000 4.2328 0.0000
0.0000 0.0000 11.7473
Pu Cd Sb Rh
2 1 3 4
Direct
0.0000 0.5000 0.2408 Pu
0.5000 0.0000 0.7592 Pu
0.5000 0.5000 0.0000 Cd
0.0000 0.0000 0.0000 Sb
0.0000 0.5000 0.6304 Sb
0.5000 0.0000 0.3696 Sb
0.0000 0.0000 0.5000 Rh
0.0000 0.5000 0.8473 Rh
0.5000 0.0000 0.1527 Rh
0.5000 0.5000 0.5000 Rh

=====

Copy entry 2 word for word.
PBE Tm5Sb4C, optimized geometry; formation energy from raw total energies = -18.38 kcal/mol of atoms; symmetry = I4; total moment = 0.00 Bohr magnetons per cell
1.0
-4.6454 4.6454 3.0272
4.6454 -4.6454 3.0272
4.6454 4.6454 -3.0272
Tm Sb C
5 4 1
Direct
0.0000 0.0000 0.0000 Tm
0.1874 0.3431 0.6562 Tm
0.3431 0.6868 0.1557 Tm
0.5311 0.1874 0.8443 Tm
0.6868 0.5311 0.3438 Tm
0.0168 0.6223 0.7713 Sb
0.2456 0.0168 0.3945 Sb
0.6223 0.8510 0.6055 Sb
0.8510 0.2456 0.2287 Sb
0.3923 0.3923 0.0000 C